Record 1
Entry from the Alexandria database: a relaxed structure of Tc2OsPb (GGA-PBE).

Calculated values
DFT total energy   -33.391 eV for the cell shown
DOS at the Fermi energy   1.448 states/eV per atom
Symmetry   P4mm, No. 99

a b c (Å): 2.9594 2.9594 7.6853
angles (deg): 90.00 90.00 90.00
Closest atoms and distances in Å follow each position.
Sites, in units of the cell vectors:
1 Os 0.0000 0.0000 0.4686  4 Tc 2.68, 4 Os 2.96
2 Pb 0.5000 0.5000 0.7497  4 Pb 2.96, 4 Tc 3.01, 4 Os 3.01
3 Tc 0.0000 0.0000 0.0307  8 Tc 2.69-2.96, 4 Pb 3.01
4 Tc 0.5000 0.5000 0.2510  4 Os 2.68, 8 Tc 2.69-2.96

Record 2
Entry from the Alexandria database: a relaxed structure of Ho6TeAs3S2 (GGA-PBE).

Calculated values
DOS at the Fermi energy   0.345 states/eV per atom
Symmetry   C2/m, No. 12
ΔE_f (raw)   -19.75 eV/f.u.

a b c (Å): 4.0731 8.1748 9.1069
angles (deg): 102.86 102.92 90.00
Closest atoms and distances in Å follow each position.
Sites, in units of the cell vectors:
1 Ho 0.3242 0.9113 0.6484  3 As 2.79-2.90, 2 S 2.89, 1 Te 3.04
2 Ho 0.6679 0.5837 0.3358  3 S 2.82-2.88, 3 As 2.89-2.90
3 Ho 0.6758 0.0887 0.3516  3 As 2.79-2.90, 2 S 2.89, 1 Te 3.04
4 Ho 0.0029 0.2722 0.0058  3 As 2.77-2.87, 1 S 2.87, 2 Te 3.01
5 Ho 0.9971 0.7278 0.9942  3 As 2.77-2.87, 1 S 2.87, 2 Te 3.01
6 Ho 0.3321 0.4163 0.6642  3 S 2.82-2.88, 3 As 2.89-2.90
7 Te 0.5000 0.0000 0.0000  6 Ho 3.01-3.04
8 As 0.5000 0.5000 0.0000  6 Ho 2.77-2.90
9 As 0.8370 0.1685 0.6740  6 Ho 2.79-2.90
10 As 0.1630 0.8315 0.3260  6 Ho 2.79-2.90
11 S 0.8313 0.6647 0.6625  6 Ho 2.82-2.89
12 S 0.1687 0.3353 0.3375  6 Ho 2.82-2.89